Version P
Cr2MoAu: optimized geometry, PBE. Values from VASP.

Computed properties:
* space-group type: Cmm2, No. 35
* volume: 14.4 Å³ per atom
* total magnetic moment: 0.0 μB per formula unit

Structure (Quantum ESPRESSO input):
```
&SYSTEM
  ibrav = 0, nat = 4, ntyp = 3
/
ATOMIC_SPECIES
Cr 52.00 Cr.upf
Mo 95.94 Mo.upf
Au 196.97 Au.upf
CELL_PARAMETERS angstrom
1.553 -2.161 0.000
1.553 2.161 0.000
0.000 0.000 8.582
ATOMIC_POSITIONS crystal
Cr 0.000 0.000 0.000
Cr 0.500 0.500 0.208
Mo 0.000 0.000 0.450
Au 0.500 0.500 0.735
```

=====

Version Q
Cr2MoAu: optimized geometry, PBE. Values from VASP.

Computed properties:
* space-group type: Fm-3m, No. 225
* volume: 15.1 Å³ per atom
* total magnetic moment: 4.8 μB per formula unit

Structure (Quantum ESPRESSO input):
```
&SYSTEM
  ibrav = 0, nat = 4, ntyp = 3
/
ATOMIC_SPECIES
Cr 52.00 Cr.upf
Mo 95.94 Mo.upf
Au 196.97 Au.upf
CELL_PARAMETERS angstrom
0.000 3.113 3.113
3.113 0.000 3.113
3.113 3.113 0.000
ATOMIC_POSITIONS crystal
Cr 0.250 0.250 0.250
Cr 0.750 0.750 0.750
Mo 0.000 0.000 0.000
Au 0.500 0.500 0.500
```

=====

Version R
Cr2MoAu: optimized geometry, PBE. Values from VASP.

Computed properties:
* space-group type: F-43m, No. 216
* volume: 15.0 Å³ per atom
* total magnetic moment: 1.9 μB per formula unit

Structure (Quantum ESPRESSO input):
```
&SYSTEM
  ibrav = 0, nat = 4, ntyp = 3
/
ATOMIC_SPECIES
Cr 52.00 Cr.upf
Mo 95.94 Mo.upf
Au 196.97 Au.upf
CELL_PARAMETERS angstrom
0.000 3.110 3.110
3.110 0.000 3.110
3.110 3.110 0.000
ATOMIC_POSITIONS crystal
Cr 0.000 0.000 0.000
Cr 0.250 0.250 0.250
Mo 0.750 0.750 0.750
Au 0.500 0.500 0.500
```

=====

Stability summary: most stable version P, least stable version R.

=====

Version P
CrMoAu: optimized geometry, PBE. Values from VASP.

Computed properties:
* space-group type: Cm, No. 8
* volume: 15.4 Å³ per atom
* total magnetic moment: 0.0 μB per formula unit

Structure (Quantum ESPRESSO input):
```
&SYSTEM
  ibrav = 0, nat = 3, ntyp = 3
/
ATOMIC_SPECIES
Cr 52.00 Cr.upf
Mo 95.94 Mo.upf
Au 196.97 Au.upf
CELL_PARAMETERS angstrom
4.438 -1.970 0.000
4.438 1.970 0.000
-0.560 0.000 2.634
ATOMIC_POSITIONS crystal
Cr 0.000 0.000 0.000
Mo 0.641 0.641 0.774
Au 0.325 0.325 0.384
```

=====

Version Q
CrMoAu: optimized geometry, PBE. Values from VASP.

Computed properties:
* space-group type: R3m, No. 160
* volume: 16.1 Å³ per atom
* total magnetic moment: 0.0 μB per formula unit

Structure (Quantum ESPRESSO input):
```
&SYSTEM
  ibrav = 0, nat = 3, ntyp = 3
/
ATOMIC_SPECIES
Cr 52.00 Cr.upf
Mo 95.94 Mo.upf
Au 196.97 Au.upf
CELL_PARAMETERS angstrom
1.492 0.861 6.256
-1.492 0.861 6.256
0.000 -1.723 6.256
ATOMIC_POSITIONS crystal
Cr 0.000 0.000 0.000
Mo 0.753 0.753 0.753
Au 0.214 0.214 0.214
```

=====

Version R
CrMoAu: optimized geometry, PBE. Values from VASP.

Computed properties:
* space-group type: P3m1, No. 156
* volume: 15.2 Å³ per atom
* total magnetic moment: 0.3 μB per formula unit

Structure (Quantum ESPRESSO input):
```
&SYSTEM
  ibrav = 0, nat = 3, ntyp = 3
/
ATOMIC_SPECIES
Cr 52.00 Cr.upf
Mo 95.94 Mo.upf
Au 196.97 Au.upf
CELL_PARAMETERS angstrom
4.467 0.000 0.000
-2.233 3.868 0.000
0.000 0.000 2.640
ATOMIC_POSITIONS crystal
Cr 0.000 0.000 0.000
Mo 0.333 0.667 0.257
Au 0.667 0.333 0.701
```

=====

Stability summary: most stable version Q, least stable version R.

=====

Version P
CrMoAu: optimized geometry, PBE. Values from VASP.

Computed properties:
* space-group type: F-43m, No. 216
* volume: 17.8 Å³ per atom
* total magnetic moment: 1.0 μB per formula unit

Structure (Quantum ESPRESSO input):
```
&SYSTEM
  ibrav = 0, nat = 3, ntyp = 3
/
ATOMIC_SPECIES
Cr 52.00 Cr.upf
Mo 95.94 Mo.upf
Au 196.97 Au.upf
CELL_PARAMETERS angstrom
0.000 2.988 2.988
2.988 0.000 2.988
2.988 2.988 0.000
ATOMIC_POSITIONS crystal
Cr 0.000 0.000 0.000
Mo 0.250 0.250 0.250
Au 0.750 0.750 0.750
```

=====

Version Q
CrMoAu: optimized geometry, PBE. Values from VASP.

Computed properties:
* space-group type: I4mm, No. 107
* volume: 15.8 Å³ per atom
* total magnetic moment: 2.7 μB per formula unit

Structure (Quantum ESPRESSO input):
```
&SYSTEM
  ibrav = 0, nat = 3, ntyp = 3
/
ATOMIC_SPECIES
Cr 52.00 Cr.upf
Mo 95.94 Mo.upf
Au 196.97 Au.upf
CELL_PARAMETERS angstrom
-1.386 1.386 6.173
1.386 -1.386 6.173
1.386 1.386 -6.173
ATOMIC_POSITIONS crystal
Cr 0.000 0.000 0.000
Mo 0.653 0.653 0.000
Au 0.331 0.331 0.000
```

=====

Version R
CrMoAu: optimized geometry, PBE. Values from VASP.

Computed properties:
* space-group type: Fmm2, No. 42
* volume: 15.4 Å³ per atom
* total magnetic moment: 0.0 μB per formula unit

Structure (Quantum ESPRESSO input):
```
&SYSTEM
  ibrav = 0, nat = 3, ntyp = 3
/
ATOMIC_SPECIES
Cr 52.00 Cr.upf
Mo 95.94 Mo.upf
Au 196.97 Au.upf
CELL_PARAMETERS angstrom
0.000 2.218 6.552
1.592 0.000 6.552
1.592 2.218 0.000
ATOMIC_POSITIONS crystal
Cr 0.000 0.000 0.000
Mo 0.356 0.356 0.644
Au 0.671 0.671 0.329
```

=====

Version S
CrMoAu: optimized geometry, PBE. Values from VASP.

Computed properties:
* space-group type: I4mm, No. 107
* volume: 15.6 Å³ per atom
* total magnetic moment: 0.9 μB per formula unit

Structure (Quantum ESPRESSO input):
```
&SYSTEM
  ibrav = 0, nat = 3, ntyp = 3
/
ATOMIC_SPECIES
Cr 52.00 Cr.upf
Mo 95.94 Mo.upf
Au 196.97 Au.upf
CELL_PARAMETERS angstrom
-1.591 1.591 4.632
1.591 -1.591 4.632
1.591 1.591 -4.632
ATOMIC_POSITIONS crystal
Cr 0.000 0.000 0.000
Mo 0.376 0.376 0.000
Au 0.684 0.684 0.000
```

=====

Stability summary: most stable version S, least stable version P.

=====

Version P
CrMoAu2: optimized geometry, PBE. Values from VASP.

Computed properties:
* space-group type: Fm-3m, No. 225
* volume: 16.9 Å³ per atom
* total magnetic moment: 2.5 μB per formula unit

Structure (Quantum ESPRESSO input):
```
&SYSTEM
  ibrav = 0, nat = 4, ntyp = 3
/
ATOMIC_SPECIES
Cr 52.00 Cr.upf
Mo 95.94 Mo.upf
Au 196.97 Au.upf
CELL_PARAMETERS angstrom
0.000 3.234 3.234
3.234 0.000 3.234
3.234 3.234 0.000
ATOMIC_POSITIONS crystal
Cr 0.000 0.000 0.000
Mo 0.500 0.500 0.500
Au 0.250 0.250 0.250
Au 0.750 0.750 0.750
```

=====

Version Q
CrMoAu2: optimized geometry, PBE. Values from VASP.

Computed properties:
* space-group type: P4mm, No. 99
* volume: 16.3 Å³ per atom
* total magnetic moment: 0.5 μB per formula unit

Structure (Quantum ESPRESSO input):
```
&SYSTEM
  ibrav = 0, nat = 4, ntyp = 3
/
ATOMIC_SPECIES
Cr 52.00 Cr.upf
Mo 95.94 Mo.upf
Au 196.97 Au.upf
CELL_PARAMETERS angstrom
3.185 0.000 0.000
0.000 3.185 0.000
0.000 0.000 6.430
ATOMIC_POSITIONS crystal
Cr 0.000 0.000 0.000
Mo 0.500 0.500 0.179
Au 0.000 0.000 0.458
Au 0.500 0.500 0.738
```

=====

Stability summary: most stable version Q, least stable version P.

=====

Version P
CrMoAu2: optimized geometry, PBE. Values from VASP.

Computed properties:
* space-group type: Pmmm, No. 47
* volume: 16.4 Å³ per atom
* total magnetic moment: 2.5 μB per formula unit

Structure (Quantum ESPRESSO input):
```
&SYSTEM
  ibrav = 0, nat = 4, ntyp = 3
/
ATOMIC_SPECIES
Cr 52.00 Cr.upf
Mo 95.94 Mo.upf
Au 196.97 Au.upf
CELL_PARAMETERS angstrom
2.862 0.000 0.000
0.000 4.180 0.000
0.000 0.000 5.473
ATOMIC_POSITIONS crystal
Cr 0.000 0.000 0.000
Mo 0.000 0.000 0.500
Au 0.500 0.500 0.250
Au 0.500 0.500 0.750
```

=====

Version Q
CrMoAu2: optimized geometry, PBE. Values from VASP.

Computed properties:
* space-group type: P4mm, No. 99
* volume: 16.4 Å³ per atom
* total magnetic moment: 2.7 μB per formula unit

Structure (Quantum ESPRESSO input):
```
&SYSTEM
  ibrav = 0, nat = 4, ntyp = 3
/
ATOMIC_SPECIES
Cr 52.00 Cr.upf
Mo 95.94 Mo.upf
Au 196.97 Au.upf
CELL_PARAMETERS angstrom
2.809 0.000 0.000
0.000 2.809 0.000
0.000 0.000 8.308
ATOMIC_POSITIONS crystal
Cr 0.000 0.000 0.000
Mo 0.500 0.500 0.223
Au 0.000 0.000 0.479
Au 0.500 0.500 0.758
```

=====

Version R
CrMoAu2: optimized geometry, PBE. Values from VASP.

Computed properties:
* space-group type: I-4m2, No. 119
* volume: 16.4 Å³ per atom
* total magnetic moment: 1.0 μB per formula unit

Structure (Quantum ESPRESSO input):
```
&SYSTEM
  ibrav = 0, nat = 4, ntyp = 3
/
ATOMIC_SPECIES
Cr 52.00 Cr.upf
Mo 95.94 Mo.upf
Au 196.97 Au.upf
CELL_PARAMETERS angstrom
-2.019 2.019 4.026
2.019 -2.019 4.026
2.019 2.019 -4.026
ATOMIC_POSITIONS crystal
Cr 0.000 0.000 0.000
Mo 0.250 0.750 0.500
Au 0.500 0.500 0.000
Au 0.750 0.250 0.500
```

=====

Stability summary: most stable version Q, least stable version P.